## ZrTaFe3 (PBE)

Data for ZrTaFe3 after structural relaxation.

Summary:
raw total energy	-40.60	eV/cell
calculated volume	90	Å³ per cell
ΔE_f	1.04	eV/atom
E above lowest polymorph	0	kJ/mol of formula units
N(E_F)	0.975	states/eV/atom

Cell lengths 4.4756, 4.4756, 4.4756 Å; angles 90.00, 90.00, 90.00 degrees
With the nearest neighbours (Å) after each atom.
Positions (direct):
Fe1 0.5000 0.0000 0.0000  2 Ta 2.24
Fe2 0.0000 0.5000 0.0000  2 Ta 2.24
Ta1 0.0000 0.0000 0.0000  6 Fe 2.24
Fe3 0.0000 0.0000 0.5000  2 Ta 2.24
Zr1 0.5000 0.5000 0.5000  12 Fe 3.16